Record 1
# TmSbPd2 | Alexandria | PBE | optimized geometry
data_TmSbPd2
_cell_length_a 6.760
_cell_length_b 6.760
_cell_length_c 6.760
_cell_angle_alpha 90.00
_cell_angle_beta 90.00
_cell_angle_gamma 90.00
_space_group_name_H-M_alt 'F m -3 m'
_space_group_IT_number 225
_space_group_name_Hall '-F 4 2 3'
loop_
_atom_site_label
_atom_site_type_symbol
_atom_site_fract_x
_atom_site_fract_y
_atom_site_fract_z
Tm1 Tm 0.000 0.000 0.000
Sb1 Sb 0.000 0.000 0.500
Pd1 Pd 0.250 0.250 0.250
# energy above the most stable polymorph in this dataset = 0 meV/atom

Record 2
# Tm7Sb2Pd2 | Alexandria | PBE | optimized geometry
data_Tm7Sb2Pd2
_cell_length_a 3.962
_cell_length_b 15.403
_cell_length_c 9.551
_cell_angle_alpha 90.00
_cell_angle_beta 90.00
_cell_angle_gamma 90.00
_space_group_name_H-M_alt 'I m m 2'
_space_group_IT_number 44
loop_
_space_group_symop_operation_xyz
'x,y,z'
'-x,-y,z'
'-x,y,z'
'x,-y,z'
'x+1/2,y+1/2,z+1/2'
'-x+1/2,-y+1/2,z+1/2'
'-x+1/2,y+1/2,z+1/2'
'x+1/2,-y+1/2,z+1/2'
loop_
_atom_site_label
_atom_site_type_symbol
_atom_site_fract_x
_atom_site_fract_y
_atom_site_fract_z
Tm1 Tm 0.000 0.000 0.000
Tm2 Tm 0.000 0.123 0.417
Tm3 Tm 0.000 0.315 0.628
Tm4 Tm 0.000 0.358 0.268
Sb1 Sb 0.000 0.000 0.669
Sb2 Sb 0.000 0.500 0.757
Pd1 Pd 0.000 0.238 0.933
# energy above the most stable polymorph in this dataset = 0 meV/atom

Record 3
Material: TmSb2Pd
Method: DFT, PBE
State: optimized geometry

```
data_TmSb2Pd
_cell_length_a 3.4695
_cell_length_b 3.4695
_cell_length_c 29.7789
_cell_angle_alpha 90.00
_cell_angle_beta 90.00
_cell_angle_gamma 120.00
_space_group_name_H-M_alt 'R -3 m'
_space_group_IT_number 166
_space_group_name_Hall '-R 3 2"'
loop_
_atom_site_label
_atom_site_type_symbol
_atom_site_fract_x
_atom_site_fract_y
_atom_site_fract_z
Tm1 Tm 0.0000 0.0000 0.0000
Sb1 Sb 0.0000 0.0000 0.1022
Pd1 Pd 0.0000 0.0000 0.5000
```

Number 1: calculated volume 77 Å³/f.u., uncorrected formation energy -865.4 meV per atom. Number 2: calculated volume 291 Å³/f.u., uncorrected formation energy -736.0 meV per atom. Number 3: calculated volume 103 Å³/f.u., uncorrected formation energy -144.6 meV per atom.